{"formula": "YCr3O", "functional": "PBE+U", "state": "relaxed", "energy_ev_per_atom": -4.6887, "spacegroup": "Pm-3m", "lattice": [[-4.323, -2.713, -2.303], [3.406, -4.204, -1.442], [-1.030, -2.514, 4.897]], "species": ["Y", "Cr", "Cr", "Cr", "O"], "fractional_positions": [[0.000, 0.000, 0.000], [0.000, 0.500, 0.000], [0.000, 0.000, 0.500], [0.500, 0.000, 0.000], [0.500, 0.500, 0.500]]}